First-principles (PBEsol) data for a relaxed Ta3Mn8Si crystal, as listed in Alexandria via LeMat-Bulk.

```
Ta3Mn8Si
1.0
4.687 0.000 0.000
-2.343 4.059 0.000
0.000 0.000 7.723
Ta Mn Si
3 8 1
Cartesian
0.000 0.000 0.000
0.000 0.000 2.911
2.343 1.353 4.024
0.000 1.318 5.366
-1.202 3.400 5.366
0.000 2.706 3.339
0.000 2.706 7.238
2.343 0.057 1.460
1.221 2.001 1.460
1.202 3.400 5.366
3.465 2.001 1.460
2.343 1.353 6.809
```

## Properties
For the uncorrected formation energy, the calculation gives -0.220 eV/atom. The density of states at the Fermi level comes out at 1.167 states/eV/atom. The final energy is -10.34 eV per atom. The calculated volume is 12.2 A^3/atom.